[1]
Below is a relaxed structure of SmBeTe, with properties calculated at the GGA-PBE level.

total magnetic moment: 0.00 μB/f.u.
uncorrected formation energy: -0.496 eV/atom
E_tot: -78.45 eV per cell

The structure in CIF format:
```
data_SmBeTe
_chemical_formula_sum 'Sm6 Be6 Te6'
_symmetry_space_group_name_H-M 'R -3 m'
_symmetry_Int_Tables_number 166
_symmetry_space_group_name_Hall '-R 3 2"'
_cell_length_a 4.5376
_cell_length_b 4.5376
_cell_length_c 30.1964
_cell_angle_alpha 90.00
_cell_angle_beta 90.00
_cell_angle_gamma 120.00
loop_
_atom_site_label
_atom_site_fract_x
_atom_site_fract_y
_atom_site_fract_z
Sm1 0.0000 0.0000 0.0564
Be1 0.0000 0.0000 0.3270
Te1 0.0000 0.0000 0.2282
```


[2]
Below is a relaxed structure of Sm5BeTe4, with properties calculated at the GGA-PBE level.

total magnetic moment: 0.00 μB/f.u.
uncorrected formation energy: -1.095 eV/atom
E_tot: -101.68 eV per cell

The structure in CIF format:
```
data_Sm5BeTe4
_chemical_formula_sum 'Sm10 Be2 Te8'
_symmetry_space_group_name_H-M 'I 4'
_symmetry_Int_Tables_number 79
_cell_length_a 9.819
_cell_length_b 9.819
_cell_length_c 6.213
_cell_angle_alpha 90.00
_cell_angle_beta 90.00
_cell_angle_gamma 90.00
loop_
_symmetry_equiv_pos_as_xyz
'x,y,z'
'-y,x,z'
'-x,-y,z'
'y,-x,z'
'x+1/2,y+1/2,z+1/2'
'-y+1/2,x+1/2,z+1/2'
'-x+1/2,-y+1/2,z+1/2'
'y+1/2,-x+1/2,z+1/2'
loop_
_atom_site_label
_atom_site_fract_x
_atom_site_fract_y
_atom_site_fract_z
Sm1 0.000 0.000 0.000
Sm2 0.095 0.726 0.501
Be1 0.000 0.000 0.501
Te1 0.090 0.694 0.001
```


[3]
Below is a relaxed structure of SmTiBe, with properties calculated at the GGA-PBE level.

formation enthalpy at 0 K: 71 meV/atom
total magnetic moment: 0.00 μB/f.u.
E_tot: -32.25 eV per cell

The structure in CIF format:
```
data_SmTiBe
_chemical_formula_sum 'Sm2 Ti2 Be2'
_symmetry_space_group_name_H-M 'P 4/n m m'
_symmetry_Int_Tables_number 129
_cell_length_a 4.306
_cell_length_b 4.306
_cell_length_c 6.438
_cell_angle_alpha 90.00
_cell_angle_beta 90.00
_cell_angle_gamma 90.00
loop_
_symmetry_equiv_pos_as_xyz
'x,y,z'
'-x,-y,-z'
'-y+1/2,x,z'
'y+1/2,-x,-z'
'-x+1/2,-y+1/2,z'
'x+1/2,y+1/2,-z'
'y,-x+1/2,z'
'-y,x+1/2,-z'
'x+1/2,-y,-z'
'-x+1/2,y,z'
'-y,-x,-z'
'y,x,z'
'-x,y+1/2,-z'
'x,-y+1/2,z'
'y+1/2,x+1/2,-z'
'-y+1/2,-x+1/2,z'
loop_
_atom_site_label
_atom_site_fract_x
_atom_site_fract_y
_atom_site_fract_z
Sm1 0.250 0.250 0.142
Ti1 0.250 0.750 0.500
Be1 0.250 0.250 0.697
```


[4]
Below is a relaxed structure of Sm2BeTl, with properties calculated at the GGA-PBE level.

formation enthalpy at 0 K: -103 meV/atom
total magnetic moment: 0.00 μB/f.u.
E_tot: -15.94 eV per cell

The structure in CIF format:
```
data_Sm2BeTl
_chemical_formula_sum 'Sm2 Be1 Tl1'
_symmetry_space_group_name_H-M 'P 4/m m m'
_symmetry_Int_Tables_number 123
_symmetry_space_group_name_Hall '-P 4 2'
_cell_length_a 3.623
_cell_length_b 3.623
_cell_length_c 7.623
_cell_angle_alpha 90.00
_cell_angle_beta 90.00
_cell_angle_gamma 90.00
loop_
_atom_site_label
_atom_site_fract_x
_atom_site_fract_y
_atom_site_fract_z
Sm1 0.000 0.000 0.217
Be1 0.500 0.500 0.000
Tl1 0.500 0.500 0.500
```


[5]
Below is a relaxed structure of SmTmBe, with properties calculated at the GGA-PBE level.

formation enthalpy at 0 K: 101 meV/atom
total magnetic moment: 0.00 μB/f.u.
E_tot: -25.23 eV per cell

The structure in CIF format:
```
data_SmTmBe
_chemical_formula_sum 'Sm2 Tm2 Be2'
_symmetry_space_group_name_H-M 'I 4 m m'
_symmetry_Int_Tables_number 107
_symmetry_space_group_name_Hall 'I 4 -2'
_cell_length_a 3.476
_cell_length_b 3.476
_cell_length_c 12.018
_cell_angle_alpha 90.00
_cell_angle_beta 90.00
_cell_angle_gamma 90.00
loop_
_atom_site_label
_atom_site_fract_x
_atom_site_fract_y
_atom_site_fract_z
Sm1 0.000 0.000 0.000
Tm1 0.000 0.000 0.271
Be1 0.000 0.000 0.646
```


[6]
Below is a relaxed structure of Sm2TmBe, with properties calculated at the GGA-PBE level.

formation enthalpy at 0 K: 677 meV/atom
total magnetic moment: 0.00 μB/f.u.
E_tot: -44.79 eV per cell
relative energy among the computed polymorphs: 220 kJ/mol of formula units

The structure in CIF format:
```
data_Sm2TmBe
_chemical_formula_sum 'Sm6 Tm3 Be3'
_symmetry_space_group_name_H-M 'R -3 m'
_symmetry_Int_Tables_number 166
_symmetry_space_group_name_Hall '-R 3 2"'
_cell_length_a 3.4397
_cell_length_b 3.4397
_cell_length_c 34.5325
_cell_angle_alpha 90.00
_cell_angle_beta 90.00
_cell_angle_gamma 120.00
loop_
_atom_site_label
_atom_site_fract_x
_atom_site_fract_y
_atom_site_fract_z
Sm1 0.0000 0.0000 0.0848
Tm1 0.0000 0.0000 0.5000
Be1 0.0000 0.0000 0.0000
```


[7]
Below is a relaxed structure of Sm2TmBe, with properties calculated at the GGA-PBE level.

formation enthalpy at 0 K: 108 meV/atom
total magnetic moment: 0.00 μB/f.u.
E_tot: -17.21 eV per cell
relative energy among the computed polymorphs: 0 kJ/mol of formula units

The structure in CIF format:
```
data_Sm2TmBe
_chemical_formula_sum 'Sm2 Tm1 Be1'
_symmetry_space_group_name_H-M 'P 4/m m m'
_symmetry_Int_Tables_number 123
_symmetry_space_group_name_Hall '-P 4 2'
_cell_length_a 3.536
_cell_length_b 3.536
_cell_length_c 8.508
_cell_angle_alpha 90.00
_cell_angle_beta 90.00
_cell_angle_gamma 90.00
loop_
_atom_site_label
_atom_site_fract_x
_atom_site_fract_y
_atom_site_fract_z
Sm1 0.000 0.000 0.198
Tm1 0.500 0.500 0.500
Be1 0.500 0.500 0.000
```


[8]
Below is a relaxed structure of SmTmBeZn, with properties calculated at the GGA-PBE level.

formation enthalpy at 0 K: -88 meV/atom
total magnetic moment: 0.00 μB/f.u.
E_tot: -58.17 eV per cell

The structure in CIF format:
```
data_SmTmBeZn
_chemical_formula_sum 'Sm4 Tm4 Be4 Zn4'
_symmetry_space_group_name_H-M 'F -4 3 m'
_symmetry_Int_Tables_number 216
_symmetry_space_group_name_Hall 'F -4 2 3'
_cell_length_a 7.018
_cell_length_b 7.018
_cell_length_c 7.018
_cell_angle_alpha 90.00
_cell_angle_beta 90.00
_cell_angle_gamma 90.00
loop_
_atom_site_label
_atom_site_fract_x
_atom_site_fract_y
_atom_site_fract_z
Sm1 0.000 0.000 0.000
Tm1 0.000 0.000 0.500
Be1 0.250 0.250 0.250
Zn1 0.250 0.250 0.750
```